DFT (PBE-GGA) results for a relaxed CsSbPHPt crystal.

The structure belongs to space group Cm (No. 8); the cell edges are 8.1833, 4.2259 and 7.6142 Å and the angles 90.00°, 102.42° and 90.00°. The distinct sites, in fractional coordinates, are Cs at (0.0000, 0.0000, 0.0000), Sb at (0.0985, 0.5000, 0.6166), P at (0.2520, 0.5000, 0.3451), H at (0.0822, 0.5000, 0.2344) and Pt at (0.2565, 0.0000, 0.4981).

Its density of states at the Fermi level is 1.3 states/eV/f.u. The value obtained for the polymorph energy (0 for the lowest one) is 107 meV/atom. The electronic total energy comes out at -0.3127 Ry/atom.